DFT (GGA-PBE) results for a relaxed CrSbMoI2 crystal.

The space group is P4/mmm (No. 123) and the conventional cell measures 5.653, 5.653 and 5.263 Å, with angles of 90.00, 90.00 and 90.00 degrees. Symmetry generates all atoms from Cr at (0.000, 0.000, 0.000), Sb at (0.500, 0.500, 0.000), Mo at (0.500, 0.500, 0.500) and I at (0.000, 0.500, 0.500).

Its crystal system is tetragonal. For the relative energy among the computed polymorphs, the calculation gives 0.00 eV per formula unit. The calculation puts the energy relative to the elements, uncorrected at 0.872 eV/atom. Its electronic total energy is -4.664 eV/atom.